# 1
5
Lattice="4.7430 0.0000 0.0000 0.0000 4.7430 0.0000 0.0000 0.0000 5.0855" Properties=species:S:1:pos:R:3 comment="BeIn2RuBr (PBE-GGA, relaxed)" volume_a3_per_cell=114 e_form_raw_ev_per_atom=0.94 pbc="T T T"
Be 0.0000 0.0000 0.0000
In 0.0000 2.3715 0.0000
In 2.3715 0.0000 0.0000
Ru 2.3715 2.3715 2.5427
Br 0.0000 0.0000 2.5427

# 2
20
Lattice="7.1665 0.0000 0.0000 0.0000 5.7064 0.0000 -7.0794 0.0000 8.4637" Properties=species:S:1:pos:R:3 comment="BiBPt3 (PBE-GGA, relaxed)" polymorph_energy_mev_per_atom=8 ef_ev_per_atom=-0.2102 volume_a3_per_cell=346 pbc="T T T"
Bi -1.1515 0.8469 3.1137
Bi -4.6912 2.0063 7.3456
Bi 4.7782 3.7001 1.1181
Bi 1.2385 4.8595 5.3500
B -2.2459 3.2301 5.0893
B 1.2938 5.3296 0.8574
B -1.2067 0.3769 7.6063
B 2.3330 2.4763 3.3744
Pt 0.1452 1.3477 0.4759
Pt -3.3945 1.5055 4.7077
Pt -0.8074 3.7588 3.5974
Pt -4.3471 4.8009 7.8292
Pt 1.3617 3.4307 1.7799
Pt -2.1780 5.1289 6.0117
Pt 2.2650 0.5775 2.4520
Pt -1.2747 2.2757 6.6838
Pt 4.4342 0.9056 0.6345
Pt 0.8945 1.9477 4.8663
Pt 3.4815 4.2009 3.7560
Pt -0.0582 4.3588 7.9878

# 3
12
Lattice="4.7962 0.0000 0.0000 -2.3981 4.1537 0.0000 0.0000 0.0000 11.8994" Properties=species:S:1:pos:R:3 comment="Sc2InAu3 (PBE-GGA, relaxed)" ef_ev_per_atom=-0.6993 volume_a3_per_cell=237 pbc="T T T"
Sc 0.0000 0.0000 0.0000
Sc 0.0000 0.0000 5.9497
Sc 0.0000 2.7691 2.1095
Sc 2.3981 1.3846 9.7899
In 0.0000 2.7691 7.9681
In 2.3981 1.3846 3.9313
Au 0.0000 0.0000 2.8214
Au 0.0000 0.0000 9.0780
Au 0.0000 2.7691 5.0246
Au 0.0000 2.7691 11.1437
Au 2.3981 1.3846 0.7557
Au 2.3981 1.3846 6.8748

# 4
12
Lattice="7.8084 0.0000 0.0000 0.0000 3.8251 0.0000 -3.6100 0.0000 10.1060" Properties=species:S:1:pos:R:3 comment="Pm3NiSeCl (PBE-GGA, relaxed)" volume_a3_per_cell=302 e_form_raw_ev_per_atom=-1.11 pbc="T T T"
Pm -0.7650 0.9563 2.8355
Pm 1.7262 0.9563 0.4243
Pm 0.6202 2.8689 5.8724
Pm 3.5783 0.9563 4.2335
Pm 2.4722 2.8689 9.6817
Pm 4.9635 2.8689 7.2704
Ni -1.4959 0.9563 5.6362
Ni 5.6943 2.8689 4.4698
Se 1.6425 2.8689 2.8396
Se 2.5559 0.9563 7.2664
Cl -0.4137 2.8689 8.8516
Cl 4.6121 0.9563 1.2543

# 5
6
Lattice="0.0000 3.5422 5.8377 2.4704 0.0000 5.8377 2.4704 3.5422 0.0000" Properties=species:S:1:pos:R:3 comment="LiTiGa (PBE-GGA, relaxed)" polymorph_energy_mev_per_atom=192 ef_ev_per_atom=-0.0934 volume_a3_per_cell=102 pbc="T T T"
Li 2.4704 1.2082 5.8377
Li 2.4704 5.8762 5.8377
Ti 1.2352 1.7711 2.9189
Ti 3.7055 5.3133 8.7566
Ga 2.4704 3.5422 4.5651
Ga 2.4704 3.5422 7.1104

# 6
6
Lattice="8.2654 -2.0949 0.0000 8.2654 2.0949 0.0000 -3.0243 0.0000 6.7020" Properties=species:S:1:pos:R:3 comment="LiScI4 (PBE-GGA, relaxed)" polymorph_energy_mev_per_atom=0 volume_a3_per_cell=232 e_form_raw_ev_per_atom=-1.22 pbc="T T T"
Li 0.0000 0.0000 0.0000
Sc 6.7532 0.0000 3.3510
I -0.4213 0.0000 5.1078
I 4.3163 0.0000 4.8320
I 9.1901 0.0000 1.8699
I 13.9278 0.0000 1.5942

# 7
12
Lattice="5.7821 -2.5179 0.0000 5.7821 2.5179 0.0000 -4.2048 0.0000 10.9642" Properties=species:S:1:pos:R:3 comment="Ho5Sc2In5 (PBE-GGA, relaxed)" ef_ev_per_atom=-0.3000 volume_a3_per_cell=319 pbc="T T T"
Ho 0.0000 0.0000 0.0000
Ho -1.7279 0.0000 8.4672
Ho -0.3177 0.0000 5.4848
Ho 7.6770 0.0000 5.4794
Ho 9.0872 0.0000 2.4970
Sc 1.7983 0.0000 8.1201
Sc 5.5609 0.0000 2.8441
In 1.4526 0.0000 2.9654
In 3.7081 0.0000 0.4522
In 3.6796 0.0000 5.4821
In 3.6512 0.0000 10.5120
In 5.9067 0.0000 7.9988

# 8
4
Lattice="3.6490 0.0000 0.0000 0.0000 3.6490 0.0000 0.0000 0.0000 9.1444" Properties=species:S:1:pos:R:3 comment="Sm2EuPt (PBE-GGA, relaxed)" ef_ev_per_atom=-0.5150 volume_a3_per_cell=122 pbc="T T T"
Sm 0.0000 0.0000 1.6491
Sm 0.0000 0.0000 7.4952
Eu 1.8245 1.8245 4.5722
Pt 1.8245 1.8245 0.0000

# 9
4
Lattice="10.4313 -1.5257 0.0000 10.4313 1.5257 0.0000 -0.6784 0.0000 3.8027" Properties=species:S:1:pos:R:3 comment="K2CrRe (PBE-GGA, relaxed)" polymorph_energy_mev_per_atom=46 ef_ev_per_atom=0.9077 volume_a3_per_cell=121 pbc="T T T"
K 2.9904 0.0000 0.5455
K 17.1937 0.0000 3.2572
Cr 10.4313 0.0000 0.0000
Re -0.3392 0.0000 1.9013

# 10
8
Lattice="3.0388 -5.3782 0.0000 3.0388 5.3782 0.0000 -0.0324 0.0000 6.1708" Properties=species:S:1:pos:R:3 comment="ErSc6Tl (PBE-GGA, relaxed)" polymorph_energy_mev_per_atom=161 ef_ev_per_atom=0.1046 volume_a3_per_cell=202 pbc="T T T"
Er 0.0000 0.0000 0.0000
Sc 1.7722 2.9417 4.6441
Sc 4.2729 2.9417 1.5267
Sc 2.7604 0.0000 4.6331
Sc 3.2847 0.0000 1.5376
Sc 1.7722 -2.9417 4.6441
Sc 4.2729 -2.9417 1.5267
Tl -0.0162 0.0000 3.0854

# 11
5
Lattice="5.1969 0.0000 0.0000 0.0000 5.1969 0.0000 0.0000 0.0000 5.8270" Properties=species:S:1:pos:R:3 comment="RbFe2HgBi (PBE-GGA, relaxed)" ef_ev_per_atom=1.0223 volume_a3_per_cell=157 pbc="T T T"
Rb 0.0000 0.0000 0.0000
Fe 0.0000 2.5984 2.9135
Fe 2.5984 0.0000 2.9135
Hg 2.5984 2.5984 2.9135
Bi 2.5984 2.5984 0.0000

# 12
15
Lattice="4.0598 2.3439 7.1764 -4.0598 2.3439 7.1764 0.0000 -4.6879 7.1764" Properties=species:S:1:pos:R:3 comment="K8Cl3OF3 (PBE-GGA, relaxed)" volume_a3_per_cell=410 e_form_raw_ev_per_atom=-2.05 pbc="T T T"
K 0.0000 0.0000 5.1058
K -1.8820 -1.0866 12.1755
K 0.0000 -2.1732 9.3538
K -1.8820 1.0866 9.3538
K 1.8820 -1.0866 12.1755
K 0.0000 2.1732 12.1755
K 1.8820 1.0866 9.3538
K 0.0000 0.0000 16.4235
Cl -2.0299 -1.1720 7.1764
Cl -2.0299 1.1720 14.3528
Cl 0.0000 2.3439 7.1764
O 0.0000 0.0000 10.7646
F -4.0598 0.0000 10.7646
F -2.0299 1.1720 3.5882
F 2.0299 1.1720 3.5882

# 13
4
Lattice="1.9705 1.1377 7.7745 -1.9705 1.1377 7.7745 0.0000 -2.2754 7.7745" Properties=species:S:1:pos:R:3 comment="Er2CdRh (PBE-GGA, relaxed)" polymorph_energy_mev_per_atom=163 ef_ev_per_atom=-0.4847 volume_a3_per_cell=105 pbc="T T T"
Er 0.0000 0.0000 0.0000
Er 0.0000 0.0000 4.7436
Cd 0.0000 0.0000 10.1655
Rh 0.0000 0.0000 14.0066

# 14
4
Lattice="2.7300 0.0000 0.0000 0.0000 2.7300 0.0000 0.0000 0.0000 6.1627" Properties=species:S:1:pos:R:3 comment="MgBeFe2 (PBE-GGA, relaxed)" polymorph_energy_mev_per_atom=59 ef_ev_per_atom=0.1289 volume_a3_per_cell=46 pbc="T T T"
Mg 0.0000 0.0000 0.0000
Be 1.3650 1.3650 1.8470
Fe 0.0000 0.0000 2.9621
Fe 1.3650 1.3650 4.3314

# 15
6
Lattice="4.2290 0.0000 0.0000 0.0000 4.4071 0.0000 0.0000 0.0000 7.2652" Properties=species:S:1:pos:R:3 comment="Ca2Ga3Si (PBE-GGA, relaxed)" polymorph_energy_mev_per_atom=0 volume_a3_per_cell=135 e_form_raw_ev_per_atom=-0.48 pbc="T T T"
Ca 0.0000 0.0000 0.0000
Ca 2.1145 0.0000 3.5674
Ga 0.0000 2.2035 2.3891
Ga 0.0000 2.2035 4.8361
Ga 2.1145 2.2035 6.0245
Si 2.1145 2.2035 1.1659

# 16
18
Lattice="7.5298 0.0000 0.0000 -3.7649 6.5210 0.0000 0.0000 0.0000 14.3607" Properties=species:S:1:pos:R:3 comment="CaSmTlBr6 (PBE-GGA, relaxed)" volume_a3_per_cell=705 e_form_raw_ev_per_atom=-1.72 pbc="T T T"
Ca 0.0000 4.3473 3.5902
Ca 3.7649 2.1736 10.7705
Sm 0.0000 4.3473 10.7705
Sm 3.7649 2.1736 3.5902
Tl 0.0000 0.0000 0.0000
Tl 0.0000 0.0000 7.1804
Br -1.3679 2.4234 9.1249
Br -2.3501 4.1246 12.4162
Br 1.3679 2.4234 12.4162
Br -0.9822 6.4939 9.1249
Br 2.7827 0.0271 1.9446
Br 1.4148 2.3963 5.2358
Br 2.3501 4.1246 9.1249
Br 0.9822 6.4939 12.4162
Br 4.7471 0.0271 5.2358
Br 2.3970 4.0975 1.9446
Br 6.1149 2.3963 1.9446
Br 5.1328 4.0975 5.2358

# 17
12
Lattice="6.3243 -2.0695 0.0000 6.3243 2.0695 0.0000 -4.1061 0.0000 8.2190" Properties=species:S:1:pos:R:3 comment="Ag5Au7 (PBE-GGA, relaxed)" polymorph_energy_mev_per_atom=4 ef_ev_per_atom=-0.0374 volume_a3_per_cell=215 pbc="T T T"
Ag 0.0000 0.0000 0.0000
Ag 0.0572 0.0000 4.1115
Ag 2.1388 0.0000 2.0500
Ag 6.4037 0.0000 6.1689
Ag 8.4853 0.0000 4.1074
Au -2.0191 0.0000 6.1623
Au 0.1228 0.0000 8.2110
Au 2.1833 0.0000 6.1501
Au 4.2713 0.0000 4.1095
Au 6.3592 0.0000 2.0689
Au 8.4197 0.0000 0.0080
Au 10.5617 0.0000 2.0567

# 18
5
Lattice="-1.9658 1.9658 7.6177 1.9658 -1.9658 7.6177 1.9658 1.9658 -7.6177" Properties=species:S:1:pos:R:3 comment="Zr2Sn2H (PBE-GGA, relaxed)" polymorph_energy_mev_per_atom=1001 volume_a3_per_cell=118 pbc="T T T"
Zr 1.9658 0.0000 3.8089
Zr 0.0000 1.9658 3.8089
Sn 0.0000 0.0000 1.3942
Sn 0.0000 0.0000 13.8413
H 0.0000 0.0000 7.6177

# 19
4
Lattice="3.4273 0.0000 0.0000 0.0000 3.4273 0.0000 0.0000 0.0000 7.1734" Properties=species:S:1:pos:R:3 comment="BeTe2As (PBE-GGA, relaxed)" polymorph_energy_mev_per_atom=525 volume_a3_per_cell=84 e_form_raw_ev_per_atom=0.57 pbc="T T T"
Be 0.0000 0.0000 0.0000
Te 1.7136 1.7136 1.5756
Te 1.7136 1.7136 5.5979
As 0.0000 0.0000 3.5867

# 20
5
Lattice="4.4820 0.0000 0.0000 0.0000 4.4820 0.0000 0.0000 0.0000 4.4820" Properties=species:S:1:pos:R:3 comment="V3GaCu (PBE-GGA, relaxed)" polymorph_energy_mev_per_atom=292 ef_ev_per_atom=1.3134 volume_a3_per_cell=90 pbc="T T T"
V 0.0000 0.0000 2.2410
V 0.0000 2.2410 0.0000
V 2.2410 0.0000 0.0000
Ga 0.0000 0.0000 0.0000
Cu 2.2410 2.2410 2.2410